1.
# Re2MoPt, relaxed, DFT PBE
# Crystal system: tetragonal
# DOS(E_F) (states/eV/atom): 1.1893
# Formation enthalpy at 0 K (eV/atom): 0.646
# VASP energy (eV/atom): -9.80
# Distance to the lowest polymorph of the same formula (meV per atom): 761
data_Re2MoPt
_chemical_formula_sum 'Re8 Mo4 Pt4'
_cell_length_a 3.8435
_cell_length_b 3.8435
_cell_length_c 18.3193
_cell_angle_alpha 90.00
_cell_angle_beta 90.00
_cell_angle_gamma 90.00
_symmetry_space_group_name_H-M 'I -4 2 d'
_symmetry_Int_Tables_number 122
_symmetry_space_group_name_Hall 'I -4 2bw'
loop_
_atom_site_label
_atom_site_fract_x
_atom_site_fract_y
_atom_site_fract_z
Re1 0.2162 0.2500 0.1250
Mo1 0.0000 0.0000 0.5000
Pt1 0.0000 0.0000 0.0000


2.
# Re2MoPt, relaxed, DFT PBE
# Crystal system: tetragonal
# DOS(E_F) (states/eV/atom): 0.7143
# Formation enthalpy at 0 K (eV/atom): -0.097
# VASP energy (eV/atom): -10.54
# Distance to the lowest polymorph of the same formula (meV per atom): 19
data_Re2MoPt
_chemical_formula_sum 'Re4 Mo2 Pt2'
_cell_length_a 3.9500
_cell_length_b 3.9500
_cell_length_c 7.7854
_cell_angle_alpha 90.00
_cell_angle_beta 90.00
_cell_angle_gamma 90.00
_symmetry_space_group_name_H-M 'I -4 m 2'
_symmetry_Int_Tables_number 119
_symmetry_space_group_name_Hall 'I -4 -2'
loop_
_atom_site_label
_atom_site_fract_x
_atom_site_fract_y
_atom_site_fract_z
Re1 0.0000 0.0000 0.0000
Re2 0.0000 0.5000 0.2500
Mo1 0.0000 0.0000 0.5000
Pt1 0.0000 0.5000 0.7500


3.
# Re2MoPt, relaxed, DFT PBE
# Crystal system: trigonal
# DOS(E_F) (states/eV/atom): 0.4531
# Formation enthalpy at 0 K (eV/atom): -0.029
# VASP energy (eV/atom): -10.47
# Distance to the lowest polymorph of the same formula (meV per atom): 86
data_Re2MoPt
_chemical_formula_sum 'Re6 Mo3 Pt3'
_cell_length_a 2.7726
_cell_length_b 2.7726
_cell_length_c 27.6461
_cell_angle_alpha 90.00
_cell_angle_beta 90.00
_cell_angle_gamma 120.00
_symmetry_space_group_name_H-M 'R 3 m'
_symmetry_Int_Tables_number 160
_symmetry_space_group_name_Hall 'R 3 -2"'
loop_
_atom_site_label
_atom_site_fract_x
_atom_site_fract_y
_atom_site_fract_z
Re1 0.0000 0.0000 0.0000
Re2 0.0000 0.0000 0.2550
Mo1 0.0000 0.0000 0.5030
Pt1 0.0000 0.0000 0.7525


4.
# ReMo2Pt, relaxed, DFT PBE
# Crystal system: tetragonal
# DOS(E_F) (states/eV/atom): 0.5972
# Formation enthalpy at 0 K (eV/atom): -0.137
# VASP energy (eV/atom): -10.17
# Distance to the lowest polymorph of the same formula (meV per atom): 0
data_ReMo2Pt
_chemical_formula_sum 'Re1 Mo2 Pt1'
_cell_length_a 3.9598
_cell_length_b 3.9598
_cell_length_c 3.9230
_cell_angle_alpha 90.00
_cell_angle_beta 90.00
_cell_angle_gamma 90.00
_symmetry_space_group_name_H-M 'P 4/m m m'
_symmetry_Int_Tables_number 123
_symmetry_space_group_name_Hall '-P 4 2'
loop_
_atom_site_label
_atom_site_fract_x
_atom_site_fract_y
_atom_site_fract_z
Re1 0.0000 0.0000 0.0000
Mo1 0.0000 0.5000 0.5000
Pt1 0.5000 0.5000 0.0000


5.
# Re2MoPt, relaxed, DFT PBE
# Crystal system: tetragonal
# DOS(E_F) (states/eV/atom): 0.7556
# Formation enthalpy at 0 K (eV/atom): -0.116
# VASP energy (eV/atom): -10.56
# Distance to the lowest polymorph of the same formula (meV per atom): 0
data_Re2MoPt
_chemical_formula_sum 'Re2 Mo1 Pt1'
_cell_length_a 3.9280
_cell_length_b 3.9280
_cell_length_c 3.9290
_cell_angle_alpha 90.00
_cell_angle_beta 90.00
_cell_angle_gamma 90.00
_symmetry_space_group_name_H-M 'P 4/m m m'
_symmetry_Int_Tables_number 123
_symmetry_space_group_name_Hall '-P 4 2'
loop_
_atom_site_label
_atom_site_fract_x
_atom_site_fract_y
_atom_site_fract_z
Re1 0.0000 0.5000 0.0000
Mo1 0.0000 0.0000 0.5000
Pt1 0.5000 0.5000 0.5000


6.
# ReMo2Pt, relaxed, DFT PBE
# Crystal system: orthorhombic
# DOS(E_F) (states/eV/atom): 0.6557
# Formation enthalpy at 0 K (eV/atom): -0.097
# VASP energy (eV/atom): -10.13
# Distance to the lowest polymorph of the same formula (meV per atom): 40
data_ReMo2Pt
_chemical_formula_sum 'Re2 Mo4 Pt2'
_cell_length_a 5.5870
_cell_length_b 8.0044
_cell_length_c 2.7600
_cell_angle_alpha 90.00
_cell_angle_beta 90.00
_cell_angle_gamma 90.00
_symmetry_space_group_name_H-M 'C m m m'
_symmetry_Int_Tables_number 65
_symmetry_space_group_name_Hall '-C 2 2'
loop_
_atom_site_label
_atom_site_fract_x
_atom_site_fract_y
_atom_site_fract_z
Re1 0.0000 0.0000 0.0000
Mo1 0.2500 0.2500 0.5000
Pt1 0.0000 0.5000 0.0000